[1]
The following is a PBE calculation of TbSm3Tl3Te8 after structural relaxation, from Alexandria via LeMat-Bulk.

a b c (Å): 15.480 8.926 9.660
angles (deg): 90.00 122.32 90.00
Space group C2/m (No. 12)
One atom of each set of equivalent atoms:
Tb 0.000 0.000 0.000 [2 per cell]
Sm 0.000 0.500 0.000 [2 per cell]
Sm 0.250 0.250 0.000 [4 per cell]
Tl 0.000 0.000 0.500 [2 per cell]
Tl 0.250 0.250 0.500 [4 per cell]
Te 0.010 0.248 0.782 [8 per cell]
Te 0.238 0.000 0.218 [4 per cell]
Te 0.240 0.500 0.221 [4 per cell]

Computed properties:
For the formation energy (no corrections), the calculation gives -1062 meV/atom. Its total energy is -133.89 eV per cell.

***

[2]
The following is a PBE calculation of MgWCl2 after structural relaxation, from Alexandria via LeMat-Bulk.

a b c (Å): 3.1144 3.1144 30.4668
angles (deg): 90.00 90.00 120.00
Space group R-3m (No. 166, hexagonal axes)
One atom of each set of equivalent atoms:
Mg 0.0000 0.0000 0.0000 [3 per cell]
W 0.0000 0.0000 0.5000 [3 per cell]
Cl 0.0000 0.0000 0.2246 [6 per cell]

Computed properties:
The offset from the most stable computed form comes out at 0.235 eV per atom. For the formation energy (no corrections), the calculation gives 34 meV/atom. Its total energy is -54.31 eV per cell.

***

[3]
The following is a PBE calculation of Mg2TlCl after structural relaxation, from Alexandria via LeMat-Bulk.

a b c (Å): 3.703 3.703 7.665
angles (deg): 90.00 90.00 90.00
Space group P4mm (No. 99)
One atom of each set of equivalent atoms:
Mg 0.000 0.000 0.000 [1 per cell]
Mg 0.500 0.500 0.239 [1 per cell]
Tl 0.000 0.000 0.438 [1 per cell]
Cl 0.500 0.500 0.855 [1 per cell]

Computed properties:
The offset from the most stable computed form comes out at 0.077 eV per atom. For the formation energy (no corrections), the calculation gives -434 meV/atom. Its total energy is -9.14 eV per cell.

***

[4]
The following is a PBE calculation of Li2InGeSe4 after structural relaxation, from Alexandria via LeMat-Bulk.

a b c (Å): 8.706 7.251 6.728
angles (deg): 90.00 90.00 90.00
Space group Pmn2_1 (No. 31)
One atom of each set of equivalent atoms:
Li 0.249 0.174 0.000 [4 per cell]
In 0.000 0.340 0.503 [2 per cell]
Ge 0.000 0.674 0.998 [2 per cell]
Se 0.000 0.342 0.897 [2 per cell]
Se 0.000 0.681 0.373 [2 per cell]
Se 0.249 0.830 0.884 [4 per cell]

Computed properties:
For the formation energy (no corrections), the calculation gives -706 meV/atom. Its total energy is -61.53 eV per cell.

***

[5]
The following is a PBE calculation of Pr2Er6In after structural relaxation, from Alexandria via LeMat-Bulk.

a b c (Å): 3.493 10.165 15.877
angles (deg): 90.00 90.00 90.00
Space group Immm (No. 71)
One atom of each set of equivalent atoms:
Pr 0.000 0.000 0.150 [4 per cell]
Er 0.000 0.291 0.500 [4 per cell]
Er 0.000 0.338 0.177 [8 per cell]
In 0.000 0.500 0.000 [2 per cell]

Computed properties:
Its total energy is -79.71 eV per cell. Its formation energy is -0.46 kcal/mol of atoms.

***

[6]
The following is a PBE calculation of Cr5Si4 after structural relaxation, from Alexandria via LeMat-Bulk.

a b c (Å): 7.2506 7.2506 4.7634
angles (deg): 90.00 90.00 120.00
Space group P6_3/mcm (No. 193)
One atom of each set of equivalent atoms:
Cr 0.0000 0.2795 0.2500 [6 per cell]
Cr 0.3333 0.6667 0.0000 [4 per cell]
Si 0.0000 0.0000 0.0000 [2 per cell]
Si 0.0000 0.3932 0.7500 [6 per cell]

Computed properties:
For the formation energy (no corrections), the calculation gives -210 meV/atom. Its total energy is -143.40 eV per cell.

***

[7]
The following is a PBE calculation of Na3Pa3BiN8 after structural relaxation, from Alexandria via LeMat-Bulk.

a b c (Å): 11.865 7.284 7.170
angles (deg): 90.00 126.04 90.00
Space group C2/m (No. 12)
One atom of each set of equivalent atoms:
Na 0.000 0.000 0.000 [2 per cell]
Na 0.250 0.250 0.000 [4 per cell]
Pa 0.000 0.500 0.500 [2 per cell]
Pa 0.250 0.250 0.500 [4 per cell]
Bi 0.000 0.000 0.500 [2 per cell]
N 0.027 0.260 0.313 [8 per cell]
N 0.227 0.000 0.705 [4 per cell]
N 0.229 0.500 0.682 [4 per cell]

Computed properties:
For the formation energy (no corrections), the calculation gives -602 meV/atom. Its total energy is -223.91 eV per cell.

***

[8]
The following is a PBE calculation of Pa2ZnPd after structural relaxation, from Alexandria via LeMat-Bulk.

a b c (Å): 3.724 3.724 6.186
angles (deg): 90.00 90.00 90.00
Space group P4/mmm (No. 123)
One atom of each set of equivalent atoms:
Pa 0.000 0.000 0.248 [2 per cell]
Zn 0.500 0.500 0.000 [1 per cell]
Pd 0.500 0.500 0.500 [1 per cell]

Computed properties:
The offset from the most stable computed form comes out at 0.107 eV per atom. Its total energy is -25.93 eV per cell. Its formation energy is -2.71 kcal/mol of atoms.

***

[9]
The following is a PBE calculation of AlTcOs2 after structural relaxation, from Alexandria via LeMat-Bulk.

a b c (Å): 5.811 5.811 10.212
angles (deg): 90.00 90.00 90.00
Space group I-42d (No. 122)
One atom of each set of equivalent atoms:
Al 0.000 0.000 0.000 [4 per cell]
Tc 0.000 0.000 0.500 [4 per cell]
Os 0.237 0.250 0.625 [8 per cell]

Computed properties:
Its total energy is -126.56 eV per cell. Its formation energy is 28.42 kcal/mol of atoms.

***

[10]
The following is a PBE calculation of Ac2YTl3S6 after structural relaxation, from Alexandria via LeMat-Bulk.

a b c (Å): 7.462 12.901 7.860
angles (deg): 90.00 108.36 90.00
Space group C2/m (No. 12)
One atom of each set of equivalent atoms:
Ac 0.000 0.167 0.000 [4 per cell]
Y 0.000 0.500 0.000 [2 per cell]
Tl 0.000 0.000 0.500 [2 per cell]
Tl 0.000 0.335 0.500 [4 per cell]
S 0.225 0.343 0.204 [8 per cell]
S 0.244 0.500 0.791 [4 per cell]

Computed properties:
For the formation energy (no corrections), the calculation gives -1488 meV/atom. Its total energy is -128.80 eV per cell.

***

[11]
The following is a PBE calculation of BaNiPCl2 after structural relaxation, from Alexandria via LeMat-Bulk.

a b c (Å): 5.041 5.041 4.480
angles (deg): 90.00 90.00 90.00
Space group P4/mmm (No. 123)
One atom of each set of equivalent atoms:
Ba 0.000 0.000 0.000 [1 per cell]
Ni 0.500 0.500 0.500 [1 per cell]
P 0.500 0.500 0.000 [1 per cell]
Cl 0.000 0.500 0.500 [2 per cell]

Computed properties:
The offset from the most stable computed form comes out at 0.000 eV per atom. For the formation energy (no corrections), the calculation gives -897 meV/atom. Its total energy is -21.29 eV per cell.

***

[12]
The following is a PBE calculation of La5Ag2Pd after structural relaxation, from Alexandria via LeMat-Bulk.

a b c (Å): 7.195 12.583 5.277
angles (deg): 90.00 90.00 90.00
Space group Pbam (No. 55)
One atom of each set of equivalent atoms:
La 0.000 0.000 0.000 [2 per cell]
La 0.151 0.290 0.000 [4 per cell]
La 0.169 0.596 0.500 [4 per cell]
Ag 0.102 0.853 0.500 [4 per cell]
Pd 0.000 0.500 0.000 [2 per cell]

Computed properties:
Its total energy is -75.78 eV per cell. Its formation energy is -6.80 kcal/mol of atoms.

***

[13]
The following is a PBE calculation of Ca4Cr3 after structural relaxation, from Alexandria via LeMat-Bulk.

a b c (Å): 6.0783 6.0783 6.3204
angles (deg): 90.00 90.00 120.00
Space group P6/mmm (No. 191)
One atom of each set of equivalent atoms:
Ca 0.0000 0.0000 0.2404 [2 per cell]
Ca 0.3333 0.6667 0.5000 [2 per cell]
Cr 0.0000 0.5000 0.0000 [3 per cell]

Computed properties:
Its total energy is -32.44 eV per cell. Its formation energy is 14.63 kcal/mol of atoms.

***

[14]
The following is a PBE calculation of KFeP after structural relaxation, from Alexandria via LeMat-Bulk.

a b c (Å): 3.794 3.794 11.755
angles (deg): 90.86 97.82 119.98
Space group P1 (No. 1)
One atom of each set of equivalent atoms:
K 0.000 0.000 0.000 [1 per cell]
K 0.377 0.219 0.636 [1 per cell]
Fe 0.174 0.101 0.294 [1 per cell]
Fe 0.899 0.468 0.394 [1 per cell]
P 0.588 0.814 0.430 [1 per cell]
P 0.788 0.404 0.205 [1 per cell]

Computed properties:
Its total energy is -31.20 eV per cell. Its formation energy is -4.84 kcal/mol of atoms.

***

[15]
The following is a PBE calculation of MgSnSb after structural relaxation, from Alexandria via LeMat-Bulk.

a b c (Å): 6.989 6.989 6.989
angles (deg): 90.00 90.00 90.00
Space group F-43m (No. 216)
One atom of each set of equivalent atoms:
Mg 0.000 0.000 0.000 [4 per cell]
Sn 0.250 0.250 0.750 [4 per cell]
Sb 0.250 0.250 0.250 [4 per cell]

Computed properties:
For the formation energy (no corrections), the calculation gives -35 meV/atom. Its total energy is -39.30 eV per cell.

***

[16]
The following is a PBE calculation of CrAu after structural relaxation, from Alexandria via LeMat-Bulk.

a b c (Å): 2.8709 2.8709 8.6581
angles (deg): 90.00 90.00 120.00
Space group P-3m1 (No. 164)
One atom of each set of equivalent atoms:
Cr 0.3333 0.6667 0.4141 [2 per cell]
Au 0.3333 0.6667 0.8498 [2 per cell]

Computed properties:
Its total energy is -24.98 eV per cell. Its formation energy is 4.75 kcal/mol of atoms.

***

[17]
The following is a PBE calculation of AcLaEuDy after structural relaxation, from Alexandria via LeMat-Bulk.

a b c (Å): 8.513 8.513 8.513
angles (deg): 90.00 90.00 90.00
Space group F-43m (No. 216)
One atom of each set of equivalent atoms:
Ac 0.000 0.000 0.000 [4 per cell]
La 0.000 0.000 0.500 [4 per cell]
Eu 0.250 0.250 0.750 [4 per cell]
Dy 0.250 0.250 0.250 [4 per cell]

Computed properties:
Its total energy is -93.91 eV per cell. Its formation energy is 2.50 kcal/mol of atoms.

***

[18]
The following is a PBE calculation of DyErBeAu after structural relaxation, from Alexandria via LeMat-Bulk.

a b c (Å): 7.027 7.027 7.027
angles (deg): 90.00 90.00 90.00
Space group F-43m (No. 216)
One atom of each set of equivalent atoms:
Dy 0.000 0.000 0.000 [4 per cell]
Er 0.000 0.000 0.500 [4 per cell]
Be 0.250 0.250 0.750 [4 per cell]
Au 0.250 0.250 0.250 [4 per cell]

Computed properties:
Its total energy is -70.22 eV per cell. Its formation energy is -7.99 kcal/mol of atoms.

***

[19]
The following is a PBE calculation of Ba3LiTe2S6 after structural relaxation, from Alexandria via LeMat-Bulk.

a b c (Å): 7.1152 7.1152 7.8711
angles (deg): 90.00 90.00 120.00
Space group P-3m1 (No. 164)
One atom of each set of equivalent atoms:
Ba 0.0000 0.0000 0.0000 [1 per cell]
Ba 0.3333 0.6667 0.6216 [2 per cell]
Li 0.0000 0.0000 0.5000 [1 per cell]
Te 0.3333 0.6667 0.1167 [2 per cell]
S 0.1669 0.3338 0.3049 [6 per cell]

Computed properties:
For the formation energy (no corrections), the calculation gives -977 meV/atom. Its total energy is -50.45 eV per cell.

***

[20]
The following is a PBE calculation of AgGeCl5 after structural relaxation, from Alexandria via LeMat-Bulk.

a b c (Å): 13.643 6.544 9.499
angles (deg): 90.00 111.15 90.00
Space group C2/c (No. 15)
One atom of each set of equivalent atoms:
Ag 0.000 0.047 0.250 [4 per cell]
Ge 0.000 0.500 0.000 [4 per cell]
Cl 0.000 0.346 0.750 [4 per cell]
Cl 0.110 0.236 0.493 [8 per cell]
Cl 0.141 0.310 0.124 [8 per cell]

Computed properties:
For the formation energy (no corrections), the calculation gives -605 meV/atom. Its total energy is -83.74 eV per cell.